Run P
{"formula": "Hf2IrRh", "functional": "PBE-GGA", "state": "optimized geometry", "cell": [[6.451, 0.000, 0.000], [0.000, 9.695, 0.000], [0.000, 0.000, 4.547]], "species": ["Hf", "Hf", "Hf", "Hf", "Hf", "Hf", "Hf", "Hf", "Ir", "Ir", "Ir", "Ir", "Rh", "Rh", "Rh", "Rh"], "frac_coords": [[0.241, 0.120, 0.250], [0.241, 0.880, 0.750], [0.259, 0.380, 0.750], [0.259, 0.620, 0.250], [0.741, 0.380, 0.750], [0.741, 0.620, 0.250], [0.759, 0.120, 0.250], [0.759, 0.880, 0.750], [0.000, 0.162, 0.750], [0.000, 0.838, 0.250], [0.500, 0.338, 0.250], [0.500, 0.662, 0.750], [0.000, 0.387, 0.250], [0.000, 0.613, 0.750], [0.500, 0.113, 0.750], [0.500, 0.887, 0.250]]}

Run Q
{"formula": "Hf2IrRh", "functional": "PBE-GGA", "state": "optimized geometry", "cell": [[6.550, 0.000, 0.000], [0.000, 6.550, 0.000], [0.000, 0.000, 6.550]], "species": ["Hf", "Hf", "Hf", "Hf", "Hf", "Hf", "Hf", "Hf", "Ir", "Ir", "Ir", "Ir", "Rh", "Rh", "Rh", "Rh"], "frac_coords": [[0.250, 0.250, 0.250], [0.250, 0.250, 0.750], [0.250, 0.750, 0.250], [0.250, 0.750, 0.750], [0.750, 0.250, 0.250], [0.750, 0.250, 0.750], [0.750, 0.750, 0.250], [0.750, 0.750, 0.750], [0.000, 0.000, 0.000], [0.000, 0.500, 0.500], [0.500, 0.000, 0.500], [0.500, 0.500, 0.000], [0.000, 0.000, 0.500], [0.000, 0.500, 0.000], [0.500, 0.000, 0.000], [0.500, 0.500, 0.500]]}

Energetically preferred structure: run P | next structure: +0.006 eV/atom

Run P
{"formula": "HfIr2Rh2", "functional": "PBE-GGA", "state": "optimized geometry", "cell": [[6.763, 0.000, 0.000], [0.000, 6.763, 0.000], [0.000, 0.000, 3.600]], "species": ["Hf", "Hf", "Ir", "Ir", "Ir", "Ir", "Rh", "Rh", "Rh", "Rh"], "frac_coords": [[0.000, 0.000, 0.000], [0.500, 0.500, 0.000], [0.132, 0.368, 0.000], [0.368, 0.868, 0.000], [0.632, 0.132, 0.000], [0.868, 0.632, 0.000], [0.165, 0.665, 0.500], [0.335, 0.165, 0.500], [0.665, 0.835, 0.500], [0.835, 0.335, 0.500]]}

Run Q
{"formula": "HfIr2Rh2", "functional": "PBE-GGA", "state": "optimized geometry", "cell": [[0.000, 4.052, 4.168], [2.596, 0.000, 4.168], [2.596, 4.052, 0.000]], "species": ["Hf", "Ir", "Ir", "Rh", "Rh"], "frac_coords": [[0.000, 0.000, 0.000], [0.250, 0.250, 0.250], [0.750, 0.750, 0.750], [0.350, 0.650, 0.350], [0.650, 0.350, 0.650]]}

Energetically preferred structure: run P | next structure: +0.188 eV/atom

Run P
{"formula": "Hf2Ir2Rh", "functional": "PBE-GGA", "state": "optimized geometry", "cell": [[7.576, 0.000, 0.000], [0.000, 7.576, 0.000], [0.000, 0.000, 3.124]], "species": ["Hf", "Hf", "Hf", "Hf", "Ir", "Ir", "Ir", "Ir", "Rh", "Rh"], "frac_coords": [[0.161, 0.339, 0.000], [0.339, 0.839, 0.000], [0.661, 0.161, 0.000], [0.839, 0.661, 0.000], [0.137, 0.637, 0.500], [0.363, 0.137, 0.500], [0.637, 0.863, 0.500], [0.863, 0.363, 0.500], [0.000, 0.000, 0.000], [0.500, 0.500, 0.000]]}

Run Q
{"formula": "Hf2Ir2Rh", "functional": "PBE-GGA", "state": "optimized geometry", "cell": [[7.000, 0.000, 0.000], [0.000, 7.000, 0.000], [0.000, 0.000, 3.632]], "species": ["Hf", "Hf", "Hf", "Hf", "Ir", "Ir", "Ir", "Ir", "Rh", "Rh"], "frac_coords": [[0.175, 0.325, 0.000], [0.325, 0.825, 0.000], [0.675, 0.175, 0.000], [0.825, 0.675, 0.000], [0.131, 0.631, 0.500], [0.369, 0.131, 0.500], [0.631, 0.869, 0.500], [0.869, 0.369, 0.500], [0.000, 0.000, 0.500], [0.500, 0.500, 0.500]]}

Energetically preferred structure: run Q | next structure: +0.134 eV/atom

Run P
{"formula": "HfIr3Rh", "functional": "PBE-GGA", "state": "optimized geometry", "cell": [[4.673, 0.000, 0.000], [0.000, 4.673, 0.000], [0.000, 0.000, 4.673]], "species": ["Hf", "Ir", "Ir", "Ir", "Rh"], "frac_coords": [[0.000, 0.000, 0.000], [0.000, 0.500, 0.500], [0.500, 0.000, 0.500], [0.500, 0.500, 0.000], [0.500, 0.500, 0.500]]}

Run Q
{"formula": "HfIr3Rh", "functional": "PBE-GGA", "state": "optimized geometry", "cell": [[4.767, 0.000, 0.000], [0.000, 4.767, 0.000], [0.000, 0.000, 4.767]], "species": ["Hf", "Ir", "Ir", "Ir", "Rh"], "frac_coords": [[0.000, 0.000, 0.000], [0.000, 0.000, 0.500], [0.000, 0.500, 0.000], [0.500, 0.000, 0.000], [0.500, 0.500, 0.500]]}

Energetically preferred structure: run P | next structure: +0.382 eV/atom

Run P
{"formula": "HfIrS2", "functional": "PBE-GGA", "state": "optimized geometry", "cell": [[3.335, 0.000, 0.000], [-1.668, 2.889, 0.000], [0.000, 0.000, 23.350]], "species": ["Hf", "Hf", "Hf", "Ir", "Ir", "Ir", "S", "S", "S", "S", "S", "S"], "frac_coords": [[0.000, 0.000, 0.000], [0.333, 0.667, 0.667], [0.667, 0.333, 0.333], [0.000, 0.000, 0.500], [0.333, 0.667, 0.167], [0.667, 0.333, 0.833], [0.000, 0.000, 0.403], [0.000, 0.000, 0.597], [0.333, 0.667, 0.070], [0.333, 0.667, 0.264], [0.667, 0.333, 0.736], [0.667, 0.333, 0.930]]}

Run Q
{"formula": "HfIrS2", "functional": "PBE-GGA", "state": "optimized geometry", "cell": [[4.469, 0.000, 0.000], [0.000, 4.469, 0.000], [0.000, 0.000, 14.674]], "species": ["Hf", "Hf", "Hf", "Hf", "Ir", "Ir", "Ir", "Ir", "S", "S", "S", "S", "S", "S", "S", "S"], "frac_coords": [[0.000, 0.000, 0.000], [0.000, 0.500, 0.250], [0.500, 0.000, 0.750], [0.500, 0.500, 0.500], [0.000, 0.000, 0.500], [0.000, 0.500, 0.750], [0.500, 0.000, 0.250], [0.500, 0.500, 0.000], [0.227, 0.250, 0.625], [0.250, 0.727, 0.875], [0.250, 0.773, 0.375], [0.273, 0.250, 0.125], [0.727, 0.750, 0.125], [0.750, 0.227, 0.375], [0.750, 0.273, 0.875], [0.773, 0.750, 0.625]]}

Energetically preferred structure: run Q | next structure: +0.093 eV/atom

Run P
{"formula": "HfSbIr3", "functional": "PBE-GGA", "state": "optimized geometry", "cell": [[4.859, 0.000, 0.000], [0.000, 4.859, 0.000], [0.000, 0.000, 4.859]], "species": ["Hf", "Sb", "Ir", "Ir", "Ir"], "frac_coords": [[0.000, 0.000, 0.000], [0.500, 0.500, 0.500], [0.000, 0.000, 0.500], [0.000, 0.500, 0.000], [0.500, 0.000, 0.000]]}

Run Q
{"formula": "HfSbIr3", "functional": "PBE-GGA", "state": "optimized geometry", "cell": [[4.783, 0.000, 0.000], [0.000, 4.783, 0.000], [0.000, 0.000, 4.783]], "species": ["Hf", "Sb", "Ir", "Ir", "Ir"], "frac_coords": [[0.000, 0.000, 0.000], [0.500, 0.500, 0.500], [0.000, 0.500, 0.500], [0.500, 0.000, 0.500], [0.500, 0.500, 0.000]]}

Energetically preferred structure: run Q | next structure: +0.076 eV/atom

Run P
{"formula": "HfSb2TeIr", "functional": "PBE-GGA", "state": "optimized geometry", "cell": [[5.072, 0.000, 0.000], [0.000, 5.072, 0.000], [0.000, 0.000, 5.375]], "species": ["Hf", "Sb", "Sb", "Te", "Ir"], "frac_coords": [[0.000, 0.000, 0.000], [0.000, 0.500, 0.500], [0.500, 0.000, 0.500], [0.500, 0.500, 0.000], [0.500, 0.500, 0.500]]}

Run Q
{"formula": "HfSb2TeIr", "functional": "PBE-GGA", "state": "optimized geometry", "cell": [[5.431, 0.000, 0.000], [0.000, 5.431, 0.000], [0.000, 0.000, 5.343]], "species": ["Hf", "Sb", "Sb", "Te", "Ir"], "frac_coords": [[0.000, 0.000, 0.000], [0.000, 0.500, 0.000], [0.500, 0.000, 0.000], [0.000, 0.000, 0.500], [0.500, 0.500, 0.500]]}

Energetically preferred structure: run P | next structure: +0.460 eV/atom

Run P
{"formula": "Hf2ScIr", "functional": "PBE-GGA", "state": "optimized geometry", "cell": [[4.134, 0.000, 0.000], [0.000, 10.901, 0.000], [0.000, 0.000, 7.558]], "species": ["Hf", "Hf", "Hf", "Hf", "Hf", "Hf", "Hf", "Hf", "Sc", "Sc", "Sc", "Sc", "Ir", "Ir", "Ir", "Ir"], "frac_coords": [[0.000, 0.142, 0.046], [0.000, 0.142, 0.454], [0.000, 0.858, 0.546], [0.000, 0.858, 0.954], [0.500, 0.358, 0.546], [0.500, 0.358, 0.954], [0.500, 0.642, 0.046], [0.500, 0.642, 0.454], [0.000, 0.450, 0.250], [0.000, 0.550, 0.750], [0.500, 0.050, 0.750], [0.500, 0.950, 0.250], [0.000, 0.281, 0.750], [0.000, 0.719, 0.250], [0.500, 0.219, 0.250], [0.500, 0.781, 0.750]]}

Run Q
{"formula": "Hf2ScIr", "functional": "PBE-GGA", "state": "optimized geometry", "cell": [[6.710, 0.000, 0.000], [0.000, 6.710, 0.000], [0.000, 0.000, 6.710]], "species": ["Hf", "Hf", "Hf", "Hf", "Hf", "Hf", "Hf", "Hf", "Sc", "Sc", "Sc", "Sc", "Ir", "Ir", "Ir", "Ir"], "frac_coords": [[0.250, 0.250, 0.250], [0.250, 0.250, 0.750], [0.250, 0.750, 0.250], [0.250, 0.750, 0.750], [0.750, 0.250, 0.250], [0.750, 0.250, 0.750], [0.750, 0.750, 0.250], [0.750, 0.750, 0.750], [0.000, 0.000, 0.000], [0.000, 0.500, 0.500], [0.500, 0.000, 0.500], [0.500, 0.500, 0.000], [0.000, 0.000, 0.500], [0.000, 0.500, 0.000], [0.500, 0.000, 0.000], [0.500, 0.500, 0.500]]}

Energetically preferred structure: run P | next structure: +0.139 eV/atom

Run P
{"formula": "Hf2ScIr", "functional": "PBE-GGA", "state": "optimized geometry", "cell": [[7.856, 0.000, 0.000], [0.000, 7.856, 0.000], [0.000, 0.000, 5.778]], "species": ["Hf", "Hf", "Hf", "Hf", "Hf", "Hf", "Hf", "Hf", "Sc", "Sc", "Sc", "Sc", "Ir", "Ir", "Ir", "Ir"], "frac_coords": [[0.191, 0.250, 0.125], [0.250, 0.691, 0.375], [0.250, 0.809, 0.875], [0.309, 0.250, 0.625], [0.691, 0.750, 0.625], [0.750, 0.191, 0.875], [0.750, 0.309, 0.375], [0.809, 0.750, 0.125], [0.000, 0.000, 0.500], [0.000, 0.500, 0.750], [0.500, 0.000, 0.250], [0.500, 0.500, 0.000], [0.000, 0.000, 0.000], [0.000, 0.500, 0.250], [0.500, 0.000, 0.750], [0.500, 0.500, 0.500]]}

Run Q
{"formula": "Hf2ScIr", "functional": "PBE-GGA", "state": "optimized geometry", "cell": [[3.344, 0.000, 0.000], [0.000, 3.344, 0.000], [0.000, 0.000, 7.221]], "species": ["Hf", "Hf", "Sc", "Ir"], "frac_coords": [[0.000, 0.000, 0.215], [0.000, 0.000, 0.785], [0.500, 0.500, 0.500], [0.500, 0.500, 0.000]]}

Energetically preferred structure: run Q | next structure: +0.187 eV/atom

Run P
{"formula": "HfSc3Ir", "functional": "PBE-GGA", "state": "optimized geometry", "cell": [[4.916, 0.000, 0.000], [0.000, 4.916, 0.000], [0.000, 0.000, 4.916]], "species": ["Hf", "Sc", "Sc", "Sc", "Ir"], "frac_coords": [[0.000, 0.000, 0.000], [0.000, 0.000, 0.500], [0.000, 0.500, 0.000], [0.500, 0.000, 0.000], [0.500, 0.500, 0.500]]}

Run Q
{"formula": "HfSc3Ir", "functional": "PBE-GGA", "state": "optimized geometry", "cell": [[5.003, 0.000, 0.000], [0.000, 5.003, 0.000], [0.000, 0.000, 5.003]], "species": ["Hf", "Sc", "Sc", "Sc", "Ir"], "frac_coords": [[0.000, 0.000, 0.000], [0.000, 0.500, 0.500], [0.500, 0.000, 0.500], [0.500, 0.500, 0.000], [0.500, 0.500, 0.500]]}

Energetically preferred structure: run Q | next structure: +1.169 eV/atom

Run P
{"formula": "HfIrSe3", "functional": "PBE-GGA", "state": "optimized geometry", "cell": [[5.099, 0.000, 0.000], [0.000, 5.099, 0.000], [0.000, 0.000, 5.099]], "species": ["Hf", "Ir", "Se", "Se", "Se"], "frac_coords": [[0.000, 0.000, 0.000], [0.500, 0.500, 0.500], [0.000, 0.000, 0.500], [0.000, 0.500, 0.000], [0.500, 0.000, 0.000]]}

Run Q
{"formula": "HfIrSe3", "functional": "PBE-GGA", "state": "optimized geometry", "cell": [[4.842, 0.000, 0.000], [0.000, 4.842, 0.000], [0.000, 0.000, 4.842]], "species": ["Hf", "Ir", "Se", "Se", "Se"], "frac_coords": [[0.000, 0.000, 0.000], [0.500, 0.500, 0.500], [0.000, 0.500, 0.500], [0.500, 0.000, 0.500], [0.500, 0.500, 0.000]]}

Energetically preferred structure: run Q | next structure: +0.214 eV/atom

Run P
{"formula": "HfSiIr3", "functional": "PBE-GGA", "state": "optimized geometry", "cell": [[4.834, 0.000, 0.000], [0.000, 4.834, 0.000], [0.000, 0.000, 4.834]], "species": ["Hf", "Si", "Ir", "Ir", "Ir"], "frac_coords": [[0.000, 0.000, 0.000], [0.500, 0.500, 0.500], [0.000, 0.000, 0.500], [0.000, 0.500, 0.000], [0.500, 0.000, 0.000]]}

Run Q
{"formula": "HfSiIr3", "functional": "PBE-GGA", "state": "optimized geometry", "cell": [[4.431, 0.000, 0.000], [0.000, 4.431, 0.000], [0.000, 0.000, 4.431]], "species": ["Hf", "Si", "Ir", "Ir", "Ir"], "frac_coords": [[0.000, 0.000, 0.000], [0.500, 0.500, 0.500], [0.000, 0.500, 0.500], [0.500, 0.000, 0.500], [0.500, 0.500, 0.000]]}

Energetically preferred structure: run Q | next structure: +1.609 eV/atom

Run P
{"formula": "Sr2HfIr2", "functional": "PBE-GGA", "state": "optimized geometry", "cell": [[7.015, 0.000, 0.000], [0.000, 7.015, 0.000], [0.000, 0.000, 5.015]], "species": ["Sr", "Sr", "Sr", "Sr", "Hf", "Hf", "Ir", "Ir", "Ir", "Ir"], "frac_coords": [[0.174, 0.326, 0.000], [0.326, 0.826, 0.000], [0.674, 0.174, 0.000], [0.826, 0.674, 0.000], [0.000, 0.000, 0.500], [0.500, 0.500, 0.500], [0.128, 0.628, 0.500], [0.372, 0.128, 0.500], [0.628, 0.872, 0.500], [0.872, 0.372, 0.500]]}

Run Q
{"formula": "Sr2HfIr2", "functional": "PBE-GGA", "state": "optimized geometry", "cell": [[4.172, 0.000, 0.000], [0.000, 4.172, 0.000], [0.000, 0.000, 13.708]], "species": ["Sr", "Sr", "Sr", "Sr", "Hf", "Hf", "Ir", "Ir", "Ir", "Ir"], "frac_coords": [[0.000, 0.500, 0.250], [0.000, 0.500, 0.750], [0.500, 0.000, 0.250], [0.500, 0.000, 0.750], [0.000, 0.000, 0.000], [0.500, 0.500, 0.500], [0.000, 0.000, 0.411], [0.000, 0.000, 0.589], [0.500, 0.500, 0.089], [0.500, 0.500, 0.911]]}

Energetically preferred structure: run P | next structure: +0.737 eV/atom